Record 1
Crystalline Hf2ZrN2 at its relaxed geometry. Source: Alexandria via LeMat-Bulk, functional PBE.

Results
- ΔE to the lowest computed polymorph: 0 meV per atom
- Volume: 15.02 A^3/atom

Unit cell a=7.2467 b=9.5272 c=5.0552 alpha=90.00 beta=120.60 gamma=90.00
With the nearest neighbours (Å) after each atom.
Space group C2/c (No. 15)
Symmetry-distinct sites (fractional):
Hf  0.2142  0.0965  0.0616  4 N 2.21-2.25
Zr  0.0000  0.3075  0.2500  1 N 2.22
N  0.0000  0.0747  0.2500  4 Hf 2.21-2.25, 1 Zr 2.22
N  0.0000  0.2613  0.7500  4 Hf 2.21-2.24

---

Record 2
Crystalline HfZr5N3 at its relaxed geometry. Source: Alexandria via LeMat-Bulk, functional PBE.

Results
- Uncorrected energy: -354.65 eV per cell
- Volume: 16.21 A^3/atom

Unit cell a=7.7078 b=22.8713 c=3.3112 alpha=90.00 beta=90.00 gamma=90.00
With the nearest neighbours (Å) after each atom.
Space group Cmmm (No. 65)
Symmetry-distinct sites (fractional):
Hf  0.0000  0.0981  0.0000  3 N 2.24
Zr  0.0000  0.2340  0.0000  3 N 2.26-2.31
Zr  0.0000  0.4317  0.0000  3 N 2.26-2.28
Zr  0.2051  0.0000  0.5000  3 N 2.27-2.29
Zr  0.2048  0.3335  0.5000  3 N 2.28-2.29
N  0.0000  0.0000  0.0000  2 Hf 2.24, 4 Zr 2.29
N  0.0000  0.1639  0.5000  2 Hf 2.24, 4 Zr 2.28-2.31
N  0.0000  0.3328  0.0000  6 Zr 2.26-2.29
N  0.0000  0.5000  0.5000  6 Zr 2.27-2.28

---

Record 3
Crystalline HfZr3N3 at its relaxed geometry. Source: Alexandria via LeMat-Bulk, functional PBE.

Results
- ΔE to the lowest computed polymorph: 68 meV per atom
- Volume: 14.78 A^3/atom

Unit cell a=7.1146 b=9.2187 c=6.5373 alpha=90.00 beta=105.16 gamma=90.00
With the nearest neighbours (Å) after each atom.
Space group C2/m (No. 12)
Symmetry-distinct sites (fractional):
Hf  0.2135  0.0000  0.1669  3 N 2.07-2.10
Zr  0.0000  0.2930  0.0000  4 N 2.47-2.60
Zr  0.0000  0.3213  0.5000  4 N 2.13-2.37
Zr  0.1559  0.0000  0.6807  3 N 2.23-2.37
N  0.0195  0.5000  0.2455  1 Hf 2.10, 1 Zr 2.23
N  0.1197  0.1506  0.3527  1 Hf 2.07, 1 Zr 2.13

---

Record 4
Crystalline Na3Hf at its relaxed geometry. Source: Alexandria via LeMat-Bulk, functional PBE.

Results
- Energy of formation: 3.5 eV/f.u.
- ΔE to the lowest computed polymorph: 0 meV per atom
- Volume: 28.87 A^3/atom

Unit cell a=4.8698 b=4.8698 c=4.8698 alpha=90.00 beta=90.00 gamma=90.00
With the nearest neighbours (Å) after each atom.
Space group Pm-3m (No. 221)
Symmetry-distinct sites (fractional):
Na  0.0000  0.0000  0.5000  4 Hf 3.44, 8 Na 3.44
Hf  0.5000  0.5000  0.5000  12 Na 3.44

---

Record 5
Crystalline NaHf4 at its relaxed geometry. Source: Alexandria via LeMat-Bulk, functional PBE.

Results
- Energy of formation: 7.6 eV/f.u.
- Volume: 24.09 A^3/atom

Unit cell a=4.9383 b=4.9383 c=4.9383 alpha=90.00 beta=90.00 gamma=90.00
With the nearest neighbours (Å) after each atom.
Space group Pm-3m (No. 221)
Symmetry-distinct sites (fractional):
Na  0.0000  0.0000  0.0000  6 Hf 2.47
Hf  0.0000  0.0000  0.5000  2 Na 2.47
Hf  0.5000  0.5000  0.5000  12 Hf 3.49

---

Record 6
Crystalline Na3Hf at its relaxed geometry. Source: Alexandria via LeMat-Bulk, functional PBE.

Results
- Energy of formation: 3.5 eV/f.u.
- ΔE to the lowest computed polymorph: 6 meV per atom
- Volume: 29.31 A^3/atom

Unit cell a=6.9174 b=6.9174 c=5.6580 alpha=90.00 beta=90.00 gamma=120.00
With the nearest neighbours (Å) after each atom.
Space group P6_3/mmc (No. 194)
Symmetry-distinct sites (fractional):
Na  0.1694  0.3389  0.2500  8 Na 3.40-3.52, 4 Hf 3.44-3.46
Hf  0.3333  0.6667  0.7500  12 Na 3.44-3.46

---

Record 7
Crystalline NaHfNb3 at its relaxed geometry. Source: Alexandria via LeMat-Bulk, functional PBE.

Results
- Energy of formation: 9.4 eV/f.u.
- ΔE to the lowest computed polymorph: 241 meV per atom
- Volume: 21.12 A^3/atom

Unit cell a=4.7270 b=4.7270 c=4.7270 alpha=90.00 beta=90.00 gamma=90.00
With the nearest neighbours (Å) after each atom.
Space group Pm-3m (No. 221)
Symmetry-distinct sites (fractional):
Na  0.0000  0.0000  0.0000  6 Nb 2.36
Hf  0.5000  0.5000  0.5000  12 Nb 3.34
Nb  0.0000  0.0000  0.5000  2 Na 2.36

---

Record 8
Crystalline NaHf2Nb at its relaxed geometry. Source: Alexandria via LeMat-Bulk, functional PBE.

Results
- Energy of formation: 4.2 eV/f.u.
- ΔE to the lowest computed polymorph: 488 meV per atom
- Volume: 22.50 A^3/atom

Unit cell a=4.2294 b=4.2294 c=20.1220 alpha=90.00 beta=90.00 gamma=90.00
With the nearest neighbours (Å) after each atom.
Space group I-42d (No. 122)
Symmetry-distinct sites (fractional):
Na  0.0000  0.0000  0.0000  4 Hf 2.95, 4 Nb 2.99
Hf  0.2332  0.2500  0.6250  4 Hf 2.89-3.09, 2 Nb 2.90, 2 Na 2.95
Nb  0.0000  0.0000  0.5000  4 Hf 2.90, 4 Na 2.99

---

Record 9
Crystalline NaHf2Nb at its relaxed geometry. Source: Alexandria via LeMat-Bulk, functional PBE.

Results
- Energy of formation: 2.2 eV/f.u.
- ΔE to the lowest computed polymorph: 0 meV per atom
- Volume: 20.85 A^3/atom

Unit cell a=6.9355 b=6.9355 c=6.9355 alpha=90.00 beta=90.00 gamma=90.00
With the nearest neighbours (Å) after each atom.
Space group Fm-3m (No. 225)
Symmetry-distinct sites (fractional):
Na  0.0000  0.0000  0.0000  8 Hf 3.00
Hf  0.2500  0.2500  0.2500  4 Nb 3.00, 4 Na 3.00
Nb  0.0000  0.0000  0.5000  8 Hf 3.00

---

Record 10
Crystalline Na2HfNb at its relaxed geometry. Source: Alexandria via LeMat-Bulk, functional PBE.

Results
- Energy of formation: 4.8 eV/f.u.
- ΔE to the lowest computed polymorph: 0 meV per atom
- Volume: 23.77 A^3/atom

Unit cell a=8.4824 b=8.4824 c=5.2868 alpha=90.00 beta=90.00 gamma=90.00
With the nearest neighbours (Å) after each atom.
Space group I-42d (No. 122)
Symmetry-distinct sites (fractional):
Na  0.2410  0.2500  0.1250  2 Na 2.65
Hf  0.0000  0.0000  0.5000  2 Nb 2.64
Nb  0.0000  0.0000  0.0000  2 Hf 2.64

---

Record 11
Crystalline Na3HfNb at its relaxed geometry. Source: Alexandria via LeMat-Bulk, functional PBE.

Results
- Energy of formation: 9.7 eV/f.u.
- ΔE to the lowest computed polymorph: 0 meV per atom
- Volume: 33.67 A^3/atom

Unit cell a=5.5218 b=5.5218 c=5.5218 alpha=90.00 beta=90.00 gamma=90.00
With the nearest neighbours (Å) after each atom.
Space group Pm-3m (No. 221)
Symmetry-distinct sites (fractional):
Na  0.0000  0.0000  0.5000  2 Nb 2.76
Hf  0.5000  0.5000  0.5000  12 Na 3.90
Nb  0.0000  0.0000  0.0000  6 Na 2.76

---

Record 12
Crystalline Na2HfNb at its relaxed geometry. Source: Alexandria via LeMat-Bulk, functional PBE.

Results
- Energy of formation: 5.1 eV/f.u.
- ΔE to the lowest computed polymorph: 58 meV per atom
- Volume: 21.85 A^3/atom

Unit cell a=7.0445 b=7.0445 c=7.0445 alpha=90.00 beta=90.00 gamma=90.00
With the nearest neighbours (Å) after each atom.
Space group Fm-3m (No. 225)
Symmetry-distinct sites (fractional):
Na  0.2500  0.2500  0.2500  4 Hf 3.05, 4 Nb 3.05
Hf  0.0000  0.0000  0.0000  8 Na 3.05
Nb  0.0000  0.0000  0.5000  8 Na 3.05

---

Record 13
Crystalline Na3HfNb at its relaxed geometry. Source: Alexandria via LeMat-Bulk, functional PBE.

Results
- Energy of formation: 11.6 eV/f.u.
- ΔE to the lowest computed polymorph: 379 meV per atom
- Volume: 30.67 A^3/atom

Unit cell a=5.3526 b=5.3526 c=5.3526 alpha=90.00 beta=90.00 gamma=90.00
With the nearest neighbours (Å) after each atom.
Space group Pm-3m (No. 221)
Symmetry-distinct sites (fractional):
Na  0.0000  0.0000  0.5000  2 Hf 2.68
Hf  0.0000  0.0000  0.0000  6 Na 2.68
Nb  0.5000  0.5000  0.5000  12 Na 3.78

---

Record 14
Crystalline NaHf3Nb at its relaxed geometry. Source: Alexandria via LeMat-Bulk, functional PBE.

Results
- Energy of formation: 5.0 eV/f.u.
- ΔE to the lowest computed polymorph: 0 meV per atom
- Volume: 27.97 A^3/atom

Unit cell a=5.1907 b=5.1907 c=5.1907 alpha=90.00 beta=90.00 gamma=90.00
With the nearest neighbours (Å) after each atom.
Space group Pm-3m (No. 221)
Symmetry-distinct sites (fractional):
Na  0.0000  0.0000  0.0000  12 Hf 3.67
Hf  0.0000  0.5000  0.5000  2 Nb 2.60
Nb  0.5000  0.5000  0.5000  6 Hf 2.60

---

Record 15
Crystalline NaHfNb3 at its relaxed geometry. Source: Alexandria via LeMat-Bulk, functional PBE.

Results
- Energy of formation: 8.2 eV/f.u.
- ΔE to the lowest computed polymorph: 0 meV per atom
- Volume: 25.60 A^3/atom

Unit cell a=5.0395 b=5.0395 c=5.0395 alpha=90.00 beta=90.00 gamma=90.00
With the nearest neighbours (Å) after each atom.
Space group Pm-3m (No. 221)
Symmetry-distinct sites (fractional):
Na  0.0000  0.0000  0.0000  12 Nb 3.56
Hf  0.5000  0.5000  0.5000  6 Nb 2.52
Nb  0.0000  0.5000  0.5000  2 Hf 2.52

---

Record 16
Crystalline Na3HfNb2O9 at its relaxed geometry. Source: Alexandria via LeMat-Bulk, functional PBE.

Results
- Uncorrected energy: -115.14 eV per cell
- Volume: 13.28 A^3/atom

Unit cell a=5.7233 b=5.7233 c=7.0221 alpha=90.00 beta=90.00 gamma=120.00
With the nearest neighbours (Å) after each atom.
Space group P-3m1 (No. 164)
Symmetry-distinct sites (fractional):
Na  0.0000  0.0000  0.0000  12 O 2.85-2.86
Na  0.3333  0.6667  0.6805  12 O 2.79-2.96
Hf  0.0000  0.0000  0.5000  6 O 2.06
Nb  0.3333  0.6667  0.1707  6 O 1.97-2.04
O  0.0000  0.5000  0.0000  2 Nb 2.04
O  0.1688  0.3375  0.3279  1 Nb 1.97, 1 Hf 2.06

---

Record 17
Crystalline NaHfNb2O8 at its relaxed geometry. Source: Alexandria via LeMat-Bulk, functional PBE.

Results
- Uncorrected energy: -199.41 eV per cell
- Volume: 14.09 A^3/atom

Unit cell a=7.2262 b=7.2262 c=6.4766 alpha=90.00 beta=90.00 gamma=90.00
With the nearest neighbours (Å) after each atom.
Space group I-4m2 (No. 119)
Symmetry-distinct sites (fractional):
Na  0.0000  0.0000  0.0000  4 O 2.30
Hf  0.0000  0.5000  0.2500  8 O 2.13-2.34
Nb  0.0000  0.0000  0.5000  4 O 1.87
Nb  0.0000  0.5000  0.7500  4 O 1.87
O  0.0000  0.2162  0.3406  1 Nb 1.87
O  0.0000  0.3149  0.9527  1 Nb 1.87

---

Record 18
Crystalline Na2HfNbO6 at its relaxed geometry. Source: Alexandria via LeMat-Bulk, functional PBE.

Results
- Uncorrected energy: -230.82 eV per cell
- Volume: 13.06 A^3/atom

Unit cell a=5.6634 b=5.6634 c=14.1042 alpha=90.00 beta=90.00 gamma=120.00
With the nearest neighbours (Å) after each atom.
Space group R3 (No. 146, hexagonal axes)
Symmetry-distinct sites (fractional):
Na  0.0000  0.0000  0.0000  6 O 2.51-2.74
Na  0.0000  0.0000  0.4995  6 O 2.50-2.73
Hf  0.0000  0.0000  0.7585  6 O 2.06-2.09
Nb  0.0000  0.0000  0.2562  6 O 1.97-2.04
O  0.0089  0.5624  0.0109  1 Nb 2.04, 1 Hf 2.06
O  0.1076  0.3358  0.8469  1 Nb 1.97, 1 Hf 2.09

---

Record 19
Crystalline NaSrHfNbO6 at its relaxed geometry. Source: Alexandria via LeMat-Bulk, functional PBE.

Results
- Uncorrected energy: -326.62 eV per cell
- Volume: 13.56 A^3/atom

Unit cell a=8.1562 b=8.1562 c=8.1562 alpha=90.00 beta=90.00 gamma=90.00
With the nearest neighbours (Å) after each atom.
Space group F-43m (No. 216)
Symmetry-distinct sites (fractional):
Na  0.0000  0.0000  0.0000  12 O 2.88
Sr  0.0000  0.0000  0.5000  12 O 2.88
Hf  0.2500  0.2500  0.7500  6 O 2.07
Nb  0.2500  0.2500  0.2500  6 O 2.01
O  0.0037  0.2500  0.2500  1 Nb 2.01, 1 Hf 2.07

---

Record 20
Crystalline NaHf2NbPt at its relaxed geometry. Source: Alexandria via LeMat-Bulk, functional PBE.

Results
- Energy of formation: 3.9 eV/f.u.
- Volume: 24.69 A^3/atom

Unit cell a=5.0395 b=5.0395 c=4.8609 alpha=90.00 beta=90.00 gamma=90.00
With the nearest neighbours (Å) after each atom.
Space group P4/mmm (No. 123)
Symmetry-distinct sites (fractional):
Na  0.0000  0.0000  0.0000  2 Pt 2.43
Hf  0.0000  0.5000  0.5000  2 Pt 2.52
Nb  0.5000  0.5000  0.0000  8 Hf 3.50, 4 Na 3.56
Pt  0.0000  0.0000  0.5000  2 Na 2.43, 4 Hf 2.52

---

Record 21
Crystalline NaHfNbSi2 at its relaxed geometry. Source: Alexandria via LeMat-Bulk, functional PBE.

Results
- Uncorrected energy: -24.58 eV per cell
- Volume: 19.87 A^3/atom

Unit cell a=4.6012 b=4.6012 c=4.6918 alpha=90.00 beta=90.00 gamma=90.00
With the nearest neighbours (Å) after each atom.
Space group P4/mmm (No. 123)
Symmetry-distinct sites (fractional):
Na  0.0000  0.0000  0.0000  4 Si 2.30, 2 Nb 2.35
Hf  0.5000  0.5000  0.5000  4 Nb 3.25, 8 Si 3.29
Nb  0.0000  0.0000  0.5000  2 Na 2.35
Si  0.0000  0.5000  0.0000  2 Na 2.30

---

Record 22
Crystalline NaY2HfNb at its relaxed geometry. Source: Alexandria via LeMat-Bulk, functional PBE.

Results
- Energy of formation: 4.6 eV/f.u.
- Volume: 33.32 A^3/atom

Unit cell a=5.7754 b=5.7754 c=4.9954 alpha=90.00 beta=90.00 gamma=90.00
With the nearest neighbours (Å) after each atom.
Space group P4/mmm (No. 123)
Symmetry-distinct sites (fractional):
Na  0.0000  0.0000  0.0000  8 Y 3.82, 4 Nb 4.08
Y  0.0000  0.5000  0.5000  2 Hf 2.89
Hf  0.5000  0.5000  0.5000  2 Nb 2.50
Nb  0.5000  0.5000  0.0000  2 Hf 2.50

---

Record 23
Crystalline NaNdHf4O12 at its relaxed geometry. Source: Alexandria via LeMat-Bulk, functional PBE.

Results
- Uncorrected energy: -309.24 eV per cell
- Volume: 14.89 A^3/atom

Unit cell a=8.2122 b=8.0646 c=8.0917 alpha=90.00 beta=90.00 gamma=90.00
With the nearest neighbours (Å) after each atom.
Space group Amm2 (No. 38)
Symmetry-distinct sites (fractional):
Na  0.0000  0.0000  0.0000  4 O 2.42
Nd  0.5000  0.0000  0.4803  8 O 2.49-2.52
Hf  0.2398  0.2456  0.7414  6 O 2.02-2.18
O  0.0000  0.2065  0.2177  2 Hf 2.02
O  0.2048  0.0000  0.7853  2 Hf 2.03
O  0.2822  0.2154  0.4922  2 Hf 2.06-2.08
O  0.3067  0.0000  0.2439  2 Hf 2.12
O  0.5000  0.1920  0.7263  2 Hf 2.18

---

Record 24
Crystalline NaNdHfSnO6 at its relaxed geometry. Source: Alexandria via LeMat-Bulk, functional PBE.

Results
- Uncorrected energy: -300.62 eV per cell
- Volume: 13.55 A^3/atom

Unit cell a=8.1539 b=8.1539 c=8.1539 alpha=90.00 beta=90.00 gamma=90.00
With the nearest neighbours (Å) after each atom.
Space group F-43m (No. 216)
Symmetry-distinct sites (fractional):
Na  0.0000  0.0000  0.0000  12 O 2.88
Nd  0.0000  0.0000  0.5000  12 O 2.88
Hf  0.2500  0.2500  0.7500  6 O 2.04
Sn  0.2500  0.2500  0.2500  6 O 2.04
O  0.0003  0.2500  0.2500  1 Sn 2.04, 1 Hf 2.04